Model A:
Material: TmGeTe3Au
Method: DFT, PBE
State: relaxed

a b c (Å): 11.0462 4.3908 15.3976
angles (deg): 90.00 90.00 90.00
With the nearest neighbours (Å) after each atom.
Element x y z (fractional)
Tm 0.1655 0.2500 0.0309  5 Te 3.00-3.17, 3 Au 3.03-3.24
Tm 0.3345 0.7500 0.5309  5 Te 3.00-3.17, 3 Au 3.03-3.24
Tm 0.6655 0.2500 0.4691  5 Te 3.00-3.17, 3 Au 3.03-3.24
Tm 0.8345 0.7500 0.9691  5 Te 3.00-3.17, 3 Au 3.03-3.24
Ge 0.0708 0.2500 0.6414  3 Te 2.83-2.84
Ge 0.4292 0.7500 0.1414  3 Te 2.83-2.84
Ge 0.5708 0.2500 0.8586  3 Te 2.83-2.84
Ge 0.9292 0.7500 0.3586  3 Te 2.83-2.84
Te 0.0249 0.7500 0.1402  2 Au 2.74
Te 0.1547 0.2500 0.4673  1 Au 2.78, 1 Ge 2.84
Te 0.2075 0.7500 0.7035  2 Ge 2.83, 1 Tm 3.00
Te 0.2925 0.2500 0.2035  2 Ge 2.83, 1 Tm 3.00
Te 0.3453 0.7500 0.9673  1 Au 2.78, 1 Ge 2.84
Te 0.4751 0.2500 0.6402  2 Au 2.74
Te 0.5249 0.7500 0.3598  2 Au 2.74
Te 0.6547 0.2500 0.0327  1 Au 2.78, 1 Ge 2.84
Te 0.7075 0.7500 0.7965  2 Ge 2.83, 1 Tm 3.00
Te 0.7925 0.2500 0.2965  2 Ge 2.83, 1 Tm 3.00
Te 0.8453 0.7500 0.5327  1 Au 2.78, 1 Ge 2.84
Te 0.9751 0.2500 0.8598  2 Au 2.74
Au 0.1115 0.7500 0.9007  3 Te 2.74-2.78, 2 Tm 3.03
Au 0.3885 0.2500 0.4007  3 Te 2.74-2.78, 2 Tm 3.03
Au 0.6115 0.7500 0.5993  3 Te 2.74-2.78, 2 Tm 3.03
Au 0.8885 0.2500 0.0993  3 Te 2.74-2.78, 2 Tm 3.03

## Properties
SG: Pnma (62)

***

Model B:
Material: TmGeTe3Au
Method: DFT, PBE
State: relaxed

a b c (Å): 13.1662 4.1915 12.4569
angles (deg): 90.00 90.00 90.00
With the nearest neighbours (Å) after each atom.
Element x y z (fractional)
Tm 0.0642 0.2500 0.1818  6 Te 2.99-3.23
Tm 0.4358 0.7500 0.6818  6 Te 2.99-3.23
Tm 0.5642 0.2500 0.3182  6 Te 2.99-3.23
Tm 0.9358 0.7500 0.8182  6 Te 2.99-3.23
Ge 0.2212 0.2500 0.4287  2 Au 2.78
Ge 0.2788 0.7500 0.9287  2 Au 2.78
Ge 0.7212 0.2500 0.0713  2 Au 2.78
Ge 0.7788 0.7500 0.5713  2 Au 2.78
Te 0.0498 0.7500 0.3639  1 Au 2.79, 2 Tm 3.09
Te 0.0820 0.2500 0.9234  1 Au 2.83, 2 Tm 3.13
Te 0.2118 0.7500 0.6418  2 Au 2.80, 1 Tm 2.99
Te 0.2882 0.2500 0.1418  2 Au 2.80, 1 Tm 2.99
Te 0.4180 0.7500 0.4234  1 Au 2.83, 2 Tm 3.13
Te 0.4502 0.2500 0.8639  1 Au 2.79, 2 Tm 3.09
Te 0.5498 0.7500 0.1361  1 Au 2.79, 2 Tm 3.09
Te 0.5820 0.2500 0.5766  1 Au 2.83, 2 Tm 3.13
Te 0.7118 0.7500 0.8582  2 Au 2.80, 1 Tm 2.99
Te 0.7882 0.2500 0.3582  2 Au 2.80, 1 Tm 2.99
Te 0.9180 0.7500 0.0766  1 Au 2.83, 2 Tm 3.13
Te 0.9502 0.2500 0.6361  1 Au 2.79, 2 Tm 3.09
Au 0.2479 0.7500 0.2847  2 Ge 2.78, 4 Te 2.79-2.83
Au 0.2521 0.2500 0.7847  2 Ge 2.78, 4 Te 2.79-2.83
Au 0.7479 0.7500 0.2153  2 Ge 2.78, 4 Te 2.79-2.83
Au 0.7521 0.2500 0.7153  2 Ge 2.78, 4 Te 2.79-2.83

## Properties
SG: Pnma (62)

***

Which one is most stable, and which one is least stable? model A is the most stable of them, while model B is the least stable.

***

Model A:
Material: TmGeTe3Au
Method: DFT, PBE
State: relaxed

a b c (Å): 8.4233 4.2756 10.3368
angles (deg): 90.00 107.52 90.00
With the nearest neighbours (Å) after each atom.
Element x y z (fractional)
Tm 0.2191 0.2500 0.1853  6 Te 2.98-3.19, 2 Au 3.10
Tm 0.7809 0.7500 0.8147  6 Te 2.98-3.19, 2 Au 3.10
Ge 0.1472 0.7500 0.7028  3 Te 2.87-2.93
Ge 0.8528 0.2500 0.2972  3 Te 2.87-2.93
Te 0.0751 0.2500 0.8711  2 Ge 2.93, 3 Tm 3.11-3.19
Te 0.1851 0.2500 0.4811  2 Au 2.82, 1 Ge 2.87, 1 Tm 3.16
Te 0.4640 0.7500 0.1829  1 Au 2.72, 2 Tm 2.98
Te 0.5360 0.2500 0.8171  1 Au 2.72, 2 Tm 2.98
Te 0.8149 0.7500 0.5189  2 Au 2.82, 1 Ge 2.87, 1 Tm 3.16
Te 0.9249 0.7500 0.1289  2 Ge 2.93, 3 Tm 3.11-3.19
Au 0.3589 0.7500 0.4076  3 Te 2.72-2.82
Au 0.6411 0.2500 0.5924  3 Te 2.72-2.82

## Properties
SG: P2_1/m (11)

***

Model B:
Material: TmGeTe3Au
Method: DFT, PBE
State: relaxed

a b c (Å): 11.2467 4.3029 14.4820
angles (deg): 90.00 90.00 90.00
With the nearest neighbours (Å) after each atom.
Element x y z (fractional)
Tm 0.0246 0.2500 0.2387  6 Te 2.99-3.26, 2 Au 3.12
Tm 0.4754 0.7500 0.7387  6 Te 2.99-3.26, 2 Au 3.12
Tm 0.5246 0.2500 0.2613  6 Te 2.99-3.26, 2 Au 3.12
Tm 0.9754 0.7500 0.7613  6 Te 2.99-3.26, 2 Au 3.12
Ge 0.1639 0.7500 0.4781  5 Te 2.79-3.10
Ge 0.3361 0.2500 0.9781  5 Te 2.79-3.10
Ge 0.6639 0.7500 0.0219  5 Te 2.79-3.10
Ge 0.8361 0.2500 0.5219  5 Te 2.79-3.10
Te 0.0581 0.2500 0.6086  3 Ge 2.79-3.10, 1 Au 3.09
Te 0.0693 0.7500 0.0996  1 Au 2.67, 2 Tm 2.99
Te 0.2290 0.7500 0.8576  2 Au 2.80, 2 Ge 3.02
Te 0.2710 0.2500 0.3576  2 Au 2.80, 2 Ge 3.02
Te 0.4307 0.2500 0.5996  1 Au 2.67, 2 Tm 2.99
Te 0.4419 0.7500 0.1086  3 Ge 2.79-3.10, 1 Au 3.09
Te 0.5581 0.2500 0.8914  3 Ge 2.79-3.10, 1 Au 3.09
Te 0.5693 0.7500 0.4004  1 Au 2.67, 2 Tm 2.99
Te 0.7290 0.7500 0.6424  2 Au 2.80, 2 Ge 3.02
Te 0.7710 0.2500 0.1424  2 Au 2.80, 2 Ge 3.02
Te 0.9307 0.2500 0.9004  1 Au 2.67, 2 Tm 2.99
Te 0.9419 0.7500 0.3914  3 Ge 2.79-3.10, 1 Au 3.09
Au 0.2250 0.7500 0.2391  3 Te 2.67-2.80
Au 0.2750 0.2500 0.7391  3 Te 2.67-2.80
Au 0.7250 0.7500 0.2609  3 Te 2.67-2.80
Au 0.7750 0.2500 0.7609  3 Te 2.67-2.80

## Properties
SG: Pnma (62)

***

Which one is most stable, and which one is least stable? model A is the most stable of them, while model B is the least stable.

***

Model A:
Material: TmGeTe3Au
Method: DFT, PBE
State: relaxed

a b c (Å): 7.8390 7.8390 11.2277
angles (deg): 90.00 90.00 149.49
With the nearest neighbours (Å) after each atom.
Element x y z (fractional)
Tm 0.0000 0.0000 0.0000  6 Te 3.08-3.10
Tm 0.0000 0.0000 0.5000  6 Te 3.08-3.10
Ge 0.1733 0.8267 0.7500  2 Au 2.91, 4 Te 3.09
Ge 0.8267 0.1733 0.2500  2 Au 2.91, 4 Te 3.09
Te 0.0877 0.9123 0.2500  2 Au 2.80, 2 Tm 3.10
Te 0.3533 0.6467 0.0487  1 Au 2.80, 2 Tm 3.08, 2 Ge 3.09
Te 0.3533 0.6467 0.4513  1 Au 2.80, 2 Tm 3.08, 2 Ge 3.09
Te 0.6467 0.3533 0.5487  1 Au 2.80, 2 Tm 3.08, 2 Ge 3.09
Te 0.6467 0.3533 0.9513  1 Au 2.80, 2 Tm 3.08, 2 Ge 3.09
Te 0.9123 0.0877 0.7500  2 Au 2.80, 2 Tm 3.10
Au 0.4628 0.5372 0.2500  4 Te 2.80, 2 Ge 2.91
Au 0.5372 0.4628 0.7500  4 Te 2.80, 2 Ge 2.91

## Properties
SG: Cmcm (63)

***

Model B:
Material: TmGeTe3Au
Method: DFT, PBE
State: relaxed

a b c (Å): 14.1458 4.1544 11.3786
angles (deg): 90.00 90.00 90.00
With the nearest neighbours (Å) after each atom.
Element x y z (fractional)
Tm 0.0036 0.2500 0.1867  6 Te 3.04-3.12, 2 Au 3.25
Tm 0.4964 0.7500 0.6867  6 Te 3.04-3.12, 2 Au 3.25
Tm 0.5036 0.2500 0.3133  6 Te 3.04-3.12, 2 Au 3.25
Tm 0.9964 0.7500 0.8133  6 Te 3.04-3.12, 2 Au 3.25
Ge 0.2239 0.2500 0.4385  6 Te 3.10-3.12
Ge 0.2761 0.7500 0.9385  6 Te 3.10-3.12
Ge 0.7239 0.2500 0.0615  6 Te 3.10-3.12
Ge 0.7761 0.7500 0.5615  6 Te 3.10-3.12
Te 0.1135 0.2500 0.9487  3 Tm 3.07-3.12, 2 Ge 3.10
Te 0.1374 0.7500 0.6121  3 Au 2.89-3.01, 1 Tm 3.04, 2 Ge 3.12
Te 0.1550 0.7500 0.2530  1 Au 2.76, 2 Tm 3.08
Te 0.3450 0.2500 0.7530  1 Au 2.76, 2 Tm 3.08
Te 0.3626 0.2500 0.1121  3 Au 2.89-3.01, 1 Tm 3.04, 2 Ge 3.12
Te 0.3865 0.7500 0.4487  3 Tm 3.07-3.12, 2 Ge 3.10
Te 0.6135 0.2500 0.5513  3 Tm 3.07-3.12, 2 Ge 3.10
Te 0.6374 0.7500 0.8879  3 Au 2.89-3.01, 1 Tm 3.04, 2 Ge 3.12
Te 0.6550 0.7500 0.2470  1 Au 2.76, 2 Tm 3.08
Te 0.8450 0.2500 0.7470  1 Au 2.76, 2 Tm 3.08
Te 0.8626 0.2500 0.3879  3 Au 2.89-3.01, 1 Tm 3.04, 2 Ge 3.12
Te 0.8865 0.7500 0.0513  3 Tm 3.07-3.12, 2 Ge 3.10
Au 0.0041 0.7500 0.4062  4 Te 2.76-3.01, 2 Au 2.98
Au 0.4959 0.2500 0.9062  4 Te 2.76-3.01, 2 Au 2.98
Au 0.5041 0.7500 0.0938  4 Te 2.76-3.01, 2 Au 2.98
Au 0.9959 0.2500 0.5938  4 Te 2.76-3.01, 2 Au 2.98

## Properties
SG: Pnma (62)

***

Model C:
Material: TmGeTe3Au
Method: DFT, PBE
State: relaxed

a b c (Å): 10.0848 10.0848 8.5693
angles (deg): 100.18 100.18 23.49
With the nearest neighbours (Å) after each atom.
Element x y z (fractional)
Tm 0.1607 0.1607 0.0911  6 Te 3.04-3.15, 2 Au 3.23
Tm 0.8393 0.8393 0.9089  6 Te 3.04-3.15, 2 Au 3.23
Ge 0.1181 0.1181 0.5657  6 Te 3.08-3.17
Ge 0.8819 0.8819 0.4343  6 Te 3.08-3.17
Te 0.0000 0.0000 0.0000  4 Au 2.85, 2 Tm 3.13
Te 0.3116 0.3116 0.6336  1 Au 2.70
Te 0.3227 0.3227 0.1616  3 Tm 3.04-3.15, 2 Ge 3.17
Te 0.5000 0.5000 0.5000  2 Au 2.85, 4 Ge 3.08
Te 0.6773 0.6773 0.8384  3 Tm 3.04-3.15, 2 Ge 3.17
Te 0.6884 0.6884 0.3664  1 Au 2.70
Au 0.4442 0.4442 0.7844  4 Te 2.70-2.85
Au 0.5558 0.5558 0.2156  4 Te 2.70-2.85

## Properties
SG: C2/m (12)

***

Which one is most stable, and which one is least stable? model A is the most stable of them, while model C is the least stable.